RbTlAsRh (PBE, optimized geometry); total energy = -4.19 eV per atom; volume = 239.15 Å³/cell; space group = P4/nmm, No. 129
1.0
4.214 0.000 0.000
0.000 4.214 0.000
0.000 0.000 13.466
Rb Tl As Rh
2 2 2 2
Direct
0.250 0.250 0.241 Rb
0.750 0.750 0.759 Rb
0.250 0.750 0.500 Tl
0.750 0.250 0.500 Tl
0.250 0.250 0.903 As
0.750 0.750 0.097 As
0.250 0.750 0.000 Rh
0.750 0.250 0.000 Rh